# 1
Computed, not measured: a geometry-optimized DyThZn3 structure at the GGA-PBE level of DFT.

Computed properties:
formation energy: -1.41 eV/f.u.
D(E_F): 9.10 states/eV/cell
uncorrected energy: -3.451 eV per atom
V: 222.3 Å³ per cell

Unit cell a=3.5732 b=4.5517 c=13.7838 alpha=90.00 beta=97.45 gamma=90.00
Sites, in units of the cell vectors:
Dy: 0.2091 0.7500 0.4183
Dy: 0.7909 0.2500 0.5817
Th: 0.9263 0.7500 0.8527
Th: 0.0737 0.2500 0.1473
Zn: 0.6208 0.7500 0.2415
Zn: 0.3792 0.2500 0.7585
Zn: 0.5237 0.7500 0.0474
Zn: 0.4763 0.2500 0.9526
Zn: 0.6745 0.2500 0.3490
Zn: 0.3255 0.7500 0.6510



# 2
Computed, not measured: a geometry-optimized SrBeSb2I structure at the GGA-PBE level of DFT.

Computed properties:
D(E_F): 2.87 states/eV/cell
formation energy from raw total energies: -0.222 eV/atom
uncorrected energy: -3.262 eV per atom
V: 156.4 Å³ per cell

Unit cell a=4.8282 b=4.8282 c=6.7080 alpha=90.00 beta=90.00 gamma=90.00
Sites, in units of the cell vectors:
I: 0.0000 0.0000 0.5000
Sb: 0.0000 0.5000 0.0000
Sb: 0.5000 0.0000 0.0000
Be: 0.0000 0.0000 0.0000
Sr: 0.5000 0.5000 0.5000



# 3
Computed, not measured: a geometry-optimized YPIr2 structure at the GGA-PBE level of DFT.

Computed properties:
formation energy: -0.91 eV/f.u.
D(E_F): 2.92 states/eV/cell
uncorrected energy: -7.626 eV per atom
V: 67.3 Å³ per cell

Unit cell a=3.0307 b=4.7183 c=4.7040 alpha=90.00 beta=90.00 gamma=90.00
Sites, in units of the cell vectors:
Y: 0.0000 0.5000 0.5000
P: 0.5000 0.5000 0.0000
Ir: 0.0000 0.0000 0.0000
Ir: 0.5000 0.0000 0.5000



# 4
Computed, not measured: a geometry-optimized BaSiRh2 structure at the GGA-PBE level of DFT.

Computed properties:
D(E_F): 6.82 states/eV/cell
formation energy from raw total energies: 0.499 eV/atom
uncorrected energy: -5.013 eV per atom
V: 80.8 Å³ per cell

Unit cell a=4.8536 b=4.8536 c=4.8536 alpha=60.00 beta=60.00 gamma=60.00
Site moments in Bohr magnetons follow the coordinates.
Sites, in units of the cell vectors:
Ba: 0.5000 0.5000 0.5000  0.01
Rh: 0.0000 0.0000 0.0000  0.20
Rh: 0.2500 0.2500 0.2500  0.16
Si: 0.7500 0.7500 0.7500  0.00



# 5
Computed, not measured: a geometry-optimized PrUN structure at the GGA-PBE level of DFT.

Computed properties:
D(E_F): 5.33 states/eV/cell
formation energy from raw total energies: -0.537 eV/atom
uncorrected energy: -8.668 eV per atom
V: 66.2 Å³ per cell

Unit cell a=6.4107 b=3.4523 c=3.4523 alpha=120.00 beta=90.00 gamma=90.00
Site moments in Bohr magnetons follow the coordinates.
Sites, in units of the cell vectors:
Pr: 0.7612 0.3333 0.6667  0.03
U: 0.2160 0.6667 0.3333  2.34
N: 0.0227 0.0000 0.0000  -0.05



# 6
Computed, not measured: a geometry-optimized Th4SnGeSb2 structure at the GGA-PBE level of DFT.

Computed properties:
D(E_F): 4.85 states/eV/cell
formation energy from raw total energies: -0.783 eV/atom
uncorrected energy: -6.601 eV per atom
V: 252.3 Å³ per cell

Unit cell a=4.4536 b=7.7473 c=7.7504 alpha=70.64 beta=90.00 gamma=90.00
Sites, in units of the cell vectors:
Th: 0.0000 0.7400 0.7438
Th: 0.0000 0.2600 0.2562
Th: 0.5000 0.7338 0.2642
Th: 0.5000 0.2662 0.7358
Sn: 0.5000 0.5000 0.0000
Ge: 0.0000 0.5000 0.5000
Sb: 0.0000 0.0000 0.0000
Sb: 0.5000 0.0000 0.5000



# 7
Computed, not measured: a geometry-optimized Cs2ScMoBr6 structure at the GGA-PBE level of DFT.

Computed properties:
D(E_F): 0.03 states/eV/cell
formation energy from raw total energies: -1.176 eV/atom
uncorrected energy: -4.067 eV per atom
V: 347.3 Å³ per cell

Unit cell a=7.8850 b=7.8850 c=7.8919 alpha=60.03 beta=60.03 gamma=90.00
Site moments in Bohr magnetons follow the coordinates.
Sites, in units of the cell vectors:
Cs: 0.7500 0.2500 0.5000  0.00
Cs: 0.2500 0.7500 0.5000  0.00
Sc: 0.5000 0.5000 0.0000  0.34
Mo: 0.0000 0.0000 0.0000  3.71
Br: 0.2581 0.2581 0.4839  0.02
Br: 0.7419 0.7419 0.5161  0.02
Br: 0.2575 0.2575 0.0000  0.02
Br: 0.7425 0.7425 0.0000  0.02
Br: 0.7425 0.2575 0.0000  0.02
Br: 0.2575 0.7425 0.0000  0.02



# 8
Computed, not measured: a geometry-optimized PrHo3Co8 structure at the GGA-PBE level of DFT.

Computed properties:
formation energy: -1.92 eV/f.u.
D(E_F): 16.22 states/eV/cell
uncorrected energy: -6.440 eV per atom
V: 186.6 Å³ per cell

Unit cell a=5.0864 b=5.0864 c=8.8304 alpha=73.26 beta=73.26 gamma=60.00
Site moments in Bohr magnetons follow the coordinates.
Sites, in units of the cell vectors:
Pr: 0.8748 0.8748 0.3755  -0.21
Ho: 0.3752 0.3752 0.8744  -0.35
Ho: 0.0003 0.0003 0.9992  -0.36
Ho: 0.4995 0.4995 0.5014  -0.35
Co: 0.9420 0.4381 0.1818  1.14
Co: 0.4314 0.9380 0.6927  1.15
Co: 0.4381 0.4381 0.1818  1.14
Co: 0.9380 0.9380 0.6927  1.15
Co: 0.1869 0.1869 0.4394  1.09
Co: 0.6877 0.6877 0.9369  1.18
Co: 0.4381 0.9420 0.1818  1.14
Co: 0.9380 0.4314 0.6927  1.15